Below is an optimized crystal structure of Mn3CoOs, with properties calculated at the PBE-GGA level.

The value obtained for the offset from the most stable computed form is 0.00 eV per formula unit.

The structure belongs to space group R-3m (No. 166, hexagonal axes); the cell edges are 5.0346, 5.0346 and 10.9170 Å and the angles 90.00°, 90.00° and 120.00°. The distinct sites, in fractional coordinates, are Mn at (0.0000, 0.5000, 0.0000), Co at (0.0000, 0.0000, 0.5000) and Os at (0.0000, 0.0000, 0.0000).

***

Below is an optimized crystal structure of Mn8Co5Os, with properties calculated at the PBE-GGA level.

The structure belongs to space group I-4 (No. 82); the cell edges are 7.350, 7.350 and 6.409 Å and the angles 90.00°, 90.00° and 90.00°. The distinct sites, in fractional coordinates, are Mn at (0.043, 0.340, 0.424), Mn at (0.151, 0.215, 0.763), Co at (0.000, 0.500, 0.750), Co at (0.092, 0.145, 0.125) and Os at (0.000, 0.000, 0.500).

***

Below is an optimized crystal structure of Mn5Co3Os12, with properties calculated at the PBE-GGA level.

The structure belongs to space group Ia-3d (No. 230); the cell edges are 13.700, 13.700 and 13.700 Å and the angles 90.00°, 90.00° and 90.00°. The distinct sites, in fractional coordinates, are Mn at (0.000, 0.000, 0.000), Mn at (0.000, 0.250, 0.375), Co at (0.000, 0.250, 0.125) and Os at (0.017, 0.079, 0.654).

***

Below is an optimized crystal structure of Mn5Co6Os, with properties calculated at the PBE-GGA level.

The structure belongs to space group P2/m (No. 10); the cell edges are 4.344, 4.979 and 6.115 Å and the angles 90.00°, 90.50° and 90.00°. The distinct sites, in fractional coordinates, are Mn at (0.000, 0.000, 0.000), Mn at (0.331, 0.500, 0.335), Mn at (0.340, 0.000, 0.336), Co at (0.169, 0.248, 0.663), Co at (0.500, 0.247, 0.000) and Os at (0.000, 0.500, 0.000).

***

Below is an optimized crystal structure of Mn7Co2Os2, with properties calculated at the PBE-GGA level.

The structure belongs to space group C2/m (No. 12); the cell edges are 8.823, 4.915 and 6.936 Å and the angles 90.00°, 116.98° and 90.00°. The distinct sites, in fractional coordinates, are Mn at (0.000, 0.000, 0.000), Mn at (0.002, 0.500, 0.811), Mn at (0.245, 0.218, 0.838), Co at (0.000, 0.256, 0.500) and Os at (0.213, 0.000, 0.434).

***

Below is an optimized crystal structure of Mn7Co2Os, with properties calculated at the PBE-GGA level.

The structure belongs to space group Cmmm (No. 65); the cell edges are 7.783, 13.725 and 2.594 Å and the angles 90.00°, 90.00° and 90.00°. The distinct sites, in fractional coordinates, are Mn at (0.000, 0.000, 0.000), Mn at (0.000, 0.309, 0.500), Mn at (0.222, 0.394, 0.000), Co at (0.000, 0.170, 0.000) and Os at (0.000, 0.500, 0.500).

***

no.,E_form (eV per formula unit)
1,5.96
2,4.08
3,21.31
4,0.73
5,2.86
6,5.42